1.
A relaxed structure of Li5Sm3Br12. Source: Alexandria via LeMat-Bulk, functional PBE.

Cell: 14.0916 14.0916 14.0916 Å, 109.47 109.47 109.47°
Site moments in Bohr magnetons follow the coordinates.
Element x y z (fractional)
Br 0.1805 0.0907 0.7159  0.00
Br 0.5898 0.9646 0.6805  0.00
Br 0.0354 0.6252 0.7159  0.00
Sm 0.6250 0.2500 0.3750  0.30
Br 0.8748 0.2841 0.4646  0.00
Br 0.8748 0.5907 0.9102  0.00
Sm 0.8750 0.1250 0.2500  0.30
Sm 0.8750 0.7500 0.1250  0.30
Li 0.5000 0.0000 0.0000  0.00
Br 0.2841 0.8748 0.9646  0.00
Br 0.9102 0.0907 0.8748  0.00
Br 0.7841 0.4646 0.3748  0.00
Br 0.4102 0.0354 0.3195  0.00
Br 0.0898 0.9093 0.1252  0.00
Li 0.0000 0.0000 0.5000  0.00
Br 0.5907 0.7159 0.6805  0.00
Br 0.6252 0.0354 0.2159  0.00
Br 0.3748 0.4102 0.0907  0.00
Br 0.5907 0.8748 0.4102  0.00
Br 0.1252 0.7159 0.5354  0.00
Li 0.5000 0.0000 0.5000  0.00
Br 0.9093 0.0898 0.6252  0.00
Br 0.0354 0.4102 0.8195  0.00
Br 0.8195 0.9102 0.0354  0.00
Br 0.4093 0.2841 0.3195  0.00
Li 0.3750 0.1250 0.7500  0.00
Br 0.6805 0.2159 0.5907  0.00
Br 0.7159 0.1252 0.0354  0.00
Br 0.4646 0.6805 0.0898  0.00
Br 0.5354 0.3195 0.9102  0.00
Br 0.0907 0.1805 0.2159  0.00
Br 0.2159 0.5354 0.6252  0.00
Br 0.0898 0.1805 0.4646  0.00
Br 0.2841 0.4093 0.8195  0.00
Li 0.6250 0.8750 0.2500  0.00
Li 0.0000 0.5000 0.5000  0.00
Br 0.9646 0.5898 0.1805  0.00
Br 0.3748 0.9646 0.7841  0.00
Br 0.3195 0.7841 0.4093  0.00
Br 0.5898 0.6252 0.4093  0.00
Br 0.4646 0.7841 0.8748  0.00
Br 0.4102 0.3748 0.5907  0.00
Li 0.5000 0.5000 0.0000  0.00
Br 0.1805 0.0898 0.9646  0.00
Li 0.3750 0.2500 0.1250  0.00
Br 0.3195 0.5354 0.4102  0.00
Sm 0.1250 0.8750 0.7500  0.30
Sm 0.2500 0.6250 0.8750  0.30
Sm 0.1250 0.2500 0.8750  0.30
Br 0.8195 0.9093 0.2841  0.00
Li 0.2500 0.3750 0.6250  0.00
Sm 0.7500 0.3750 0.1250  0.30
Li 0.6250 0.7500 0.8750  0.00
Li 0.7500 0.1250 0.8750  0.00
Li 0.2500 0.8750 0.1250  0.00
Br 0.1252 0.4093 0.0898  0.00
Sm 0.3750 0.7500 0.6250  0.30
Br 0.9646 0.3748 0.2841  0.00
Br 0.4093 0.1252 0.5898  0.00
Br 0.6252 0.5898 0.9093  0.00
Br 0.2159 0.6805 0.0907  0.00
Li 0.8750 0.6250 0.7500  0.00
Li 0.1250 0.7500 0.3750  0.00
Sm 0.6250 0.3750 0.7500  0.30
Sm 0.3750 0.6250 0.2500  0.30
Li 0.5000 0.5000 0.5000  0.00
Li 0.8750 0.2500 0.6250  0.00
Li 0.1250 0.3750 0.2500  0.00
Br 0.0907 0.9102 0.3748  0.00
Br 0.6805 0.4646 0.5898  0.00
Sm 0.7500 0.8750 0.6250  0.30
Li 0.7500 0.6250 0.3750  0.00
Br 0.9102 0.8195 0.5354  0.00
Li 0.0000 0.0000 0.0000  0.00
Br 0.5354 0.2159 0.1252  0.00
Sm 0.2500 0.1250 0.3750  0.30
Br 0.7841 0.3195 0.9093  0.00
Li 0.0000 0.5000 0.0000  0.00
Br 0.7159 0.5907 0.1805  0.00
Br 0.9093 0.8195 0.7841  0.00

## Properties
The total energy is -3.735 eV per atom. For the density, the calculation gives 4.45 g/cm3. The value obtained for the formation energy (no corrections) is -1.55 eV per atom.

2.
A relaxed structure of Li3SmBr6. Source: Alexandria via LeMat-Bulk, functional PBE.

Cell: 7.8484 7.9479 7.9493 Å, 60.98 60.59 60.59°
Element x y z (fractional)
Br 0.2660 0.7448 0.7445
Br 0.7340 0.2552 0.2555
Li 0.5000 0.5000 0.5000
Li 0.5000 0.0000 0.5000
Br 0.7234 0.7707 0.2727
Br 0.2766 0.2293 0.7273
Br 0.7265 0.2758 0.7679
Sm 0.0000 0.0000 0.0000
Li 0.5000 0.5000 0.0000
Br 0.2735 0.7242 0.2321

## Properties
The total energy is -3.647 eV per atom. For the density, the calculation gives 3.03 g/cm3. The value obtained for the formation energy (no corrections) is -1.60 eV per atom. Its energy above the most stable polymorph in this dataset is 0 meV per atom.

3.
A relaxed structure of Li2SmBr4. Source: Alexandria via LeMat-Bulk, functional PBE.

Cell: 6.8082 6.8082 6.8082 Å, 105.10 105.10 118.62°
Site moments in Bohr magnetons follow the coordinates.
Element x y z (fractional)
Br 0.3591 0.1822 0.5414  0.00
Li 0.7500 0.2500 0.5000  0.00
Li 0.2500 0.7500 0.5000  0.00
Br 0.8178 0.3591 0.1769  0.00
Br 0.6409 0.8178 0.4586  0.00
Sm 0.5000 0.5000 0.0000  0.44
Br 0.1822 0.6409 0.8231  0.00

## Properties
The total energy is -3.585 eV per atom. For the density, the calculation gives 3.37 g/cm3. The value obtained for the formation energy (no corrections) is -1.41 eV per atom.

4.
A relaxed structure of SrLiSmBr6. Source: Alexandria via LeMat-Bulk, functional PBE.

Cell: 7.2140 7.2140 13.4614 Å, 90.00 90.00 120.00°
Element x y z (fractional)
Br 0.3490 0.9912 0.1310
Br 0.0088 0.6510 0.3690
Br 0.6422 0.9912 0.3690
Br 0.6422 0.6510 0.1310
Br 0.0088 0.3578 0.1310
Sm 0.3333 0.6667 0.7500
Li 0.6667 0.3333 0.7500
Br 0.9912 0.6422 0.8690
Br 0.3578 0.3490 0.8690
Br 0.3578 0.0088 0.6310
Br 0.6510 0.0088 0.8690
Br 0.9912 0.3490 0.6310
Li 0.3333 0.6667 0.2500
Sr 0.0000 0.0000 0.5000
Br 0.6510 0.6422 0.6310
Br 0.3490 0.3578 0.3690
Sr 0.0000 0.0000 0.0000
Sm 0.6667 0.3333 0.2500

## Properties
The total energy is -3.903 eV per atom. For the density, the calculation gives 3.97 g/cm3. The value obtained for the formation energy (no corrections) is -1.86 eV per atom.

5.
A relaxed structure of LiSmTl2Br6. Source: Alexandria via LeMat-Bulk, functional PBE.

Cell: 7.6306 7.9585 10.8935 Å, 90.00 89.57 90.00°
Element x y z (fractional)
Br 0.1965 0.2033 0.4550
Br 0.9096 0.5166 0.2553
Sm 0.5000 0.0000 0.5000
Br 0.5904 0.0166 0.2447
Br 0.7009 0.2985 0.5447
Sm 0.0000 0.5000 0.0000
Br 0.6965 0.2967 0.9550
Br 0.0904 0.4834 0.7447
Br 0.8035 0.7967 0.5450
Br 0.7991 0.7985 0.9553
Br 0.4096 0.9834 0.7553
Br 0.3035 0.7033 0.0450
Li 0.0000 0.5000 0.5000
Li 0.5000 0.0000 0.0000
Tl 0.9787 0.0718 0.7467
Tl 0.4787 0.4282 0.2467
Br 0.2009 0.2015 0.0447
Br 0.2991 0.7015 0.4553
Tl 0.5213 0.5718 0.7533
Tl 0.0213 0.9282 0.2533

## Properties
The total energy is -3.544 eV per atom. For the density, the calculation gives 5.25 g/cm3. The value obtained for the formation energy (no corrections) is -1.40 eV per atom.

6.
A relaxed structure of Li2Sn5Br12. Source: Alexandria via LeMat-Bulk, functional PBE.

Cell: 7.9640 9.3595 9.4131 Å, 105.07 90.00 115.18°
Element x y z (fractional)
Br 0.5023 0.0046 0.2086
Br 0.3960 0.2894 0.5736
Br 0.9064 0.3341 0.0906
Li 0.2307 0.0000 0.0000
Sn 0.0000 0.0000 0.5000
Br 0.1066 0.7106 0.4264
Sn 0.3165 0.6329 0.6779
Br 0.9945 0.9890 0.1919
Br 0.6040 0.7106 0.4264
Br 0.0055 0.0110 0.8081
Sn 0.6722 0.3444 0.8194
Sn 0.3278 0.6556 0.1806
Sn 0.6835 0.3671 0.3221
Br 0.4977 0.9954 0.7914
Br 0.4277 0.3341 0.0906
Br 0.8934 0.2894 0.5736
Br 0.5723 0.6659 0.9094
Li 0.7693 0.0000 0.0000
Br 0.0936 0.6659 0.9094

## Properties
The total energy is -3.201 eV per atom. For the density, the calculation gives 4.28 g/cm3. The value obtained for the formation energy (no corrections) is -0.89 eV per atom. Its energy above the most stable polymorph in this dataset is 2 meV per atom.

7.
A relaxed structure of LiSnBr2. Source: Alexandria via LeMat-Bulk, functional PBE.

Cell: 5.2934 5.2934 5.2934 Å, 60.00 60.00 60.00°
Element x y z (fractional)
Li 0.0000 0.0000 0.0000
Br 0.7500 0.7500 0.7500
Sn 0.5000 0.5000 0.5000
Br 0.2500 0.2500 0.2500

## Properties
The total energy is -2.873 eV per atom. For the density, the calculation gives 4.52 g/cm3. The value obtained for the formation energy (no corrections) is -0.56 eV per atom. Its energy above the most stable polymorph in this dataset is 319 meV per atom.

8.
A relaxed structure of LiSnBr2. Source: Alexandria via LeMat-Bulk, functional PBE.

Cell: 9.0280 9.0280 9.0280 Å, 24.10 24.10 24.10°
Element x y z (fractional)
Sn 0.0000 0.0000 0.0000
Li 0.5000 0.5000 0.5000
Br 0.1080 0.1080 0.1080
Br 0.8920 0.8920 0.8920

## Properties
The total energy is -3.192 eV per atom. For the density, the calculation gives 4.40 g/cm3. The value obtained for the formation energy (no corrections) is -0.88 eV per atom. Its energy above the most stable polymorph in this dataset is 0 meV per atom.

9.
A relaxed structure of Li3Sn5Br12. Source: Alexandria via LeMat-Bulk, functional PBE.

Cell: 15.2710 15.2710 15.2710 Å, 109.47 109.47 109.47°
Site moments in Bohr magnetons follow the coordinates.
Element x y z (fractional)
Sn 0.0000 0.0000 0.0000  0.01
Sn 0.8750 0.2500 0.6250  0.12
Br 0.0295 0.3196 0.3872  0.00
Br 0.3577 0.8872 0.5676  0.00
Br 0.0676 0.2099 0.6804  0.00
Sn 0.6250 0.8750 0.2500  0.12
Br 0.8577 0.0676 0.3872  0.00
Sn 0.0000 0.0000 0.5000  0.01
Sn 0.5000 0.0000 0.0000  0.01
Sn 0.5000 0.5000 0.0000  0.01
Br 0.1423 0.2099 0.0295  0.00
Br 0.5676 0.3872 0.3577  0.00
Br 0.6423 0.5295 0.7099  0.00
Br 0.8577 0.7901 0.9705  0.00
Br 0.8872 0.3577 0.0676  0.00
Br 0.0676 0.8577 0.8872  0.00
Li 0.7500 0.3750 0.1250  0.00
Sn 0.3750 0.2500 0.1250  0.12
Br 0.5295 0.8872 0.8196  0.00
Br 0.9324 0.7901 0.3196  0.00
Br 0.4705 0.3577 0.7901  0.00
Br 0.6804 0.9705 0.1128  0.00
Br 0.2901 0.3196 0.4324  0.00
Sn 0.0000 0.5000 0.0000  0.01
Li 0.8750 0.1250 0.2500  0.00
Br 0.9705 0.6804 0.6128  0.00
Br 0.3872 0.5676 0.8577  0.00
Li 0.3750 0.6250 0.2500  0.00
Li 0.6250 0.3750 0.7500  0.00
Br 0.5676 0.1804 0.7099  0.00
Br 0.3577 0.4705 0.2901  0.00
Sn 0.2500 0.3750 0.6250  0.12
Sn 0.5000 0.5000 0.5000  0.01
Br 0.3196 0.2901 0.9324  0.00
Br 0.6423 0.1128 0.4324  0.00
Br 0.9324 0.1423 0.1128  0.00
Br 0.8196 0.3872 0.5295  0.00
Br 0.7901 0.8577 0.4705  0.00
Sn 0.1250 0.3750 0.2500  0.12
Li 0.3750 0.7500 0.6250  0.00
Sn 0.2500 0.8750 0.1250  0.12
Sn 0.7500 0.1250 0.8750  0.12
Li 0.2500 0.6250 0.8750  0.00
Sn 0.8750 0.6250 0.7500  0.12
Br 0.6128 0.1804 0.9705  0.00
Br 0.2099 0.0676 0.1804  0.00
Br 0.2901 0.9705 0.3577  0.00
Br 0.1804 0.6128 0.4705  0.00
Sn 0.7500 0.6250 0.3750  0.12
Li 0.8750 0.7500 0.1250  0.00
Br 0.1128 0.4705 0.6804  0.00
Li 0.7500 0.8750 0.6250  0.00
Br 0.0295 0.7099 0.1423  0.00
Li 0.6250 0.2500 0.3750  0.00
Br 0.5295 0.6423 0.2099  0.00
Br 0.1423 0.9324 0.6128  0.00
Sn 0.0000 0.5000 0.5000  0.01
Li 0.2500 0.1250 0.3750  0.00
Br 0.9705 0.2901 0.8577  0.00
Br 0.3872 0.8196 0.0295  0.00
Br 0.8872 0.5295 0.3196  0.00
Br 0.7099 0.0295 0.6423  0.00
Br 0.7099 0.6804 0.5676  0.00
Br 0.4324 0.8196 0.2901  0.00
Sn 0.3750 0.1250 0.7500  0.12
Li 0.1250 0.8750 0.7500  0.00
Br 0.7901 0.9324 0.8196  0.00
Sn 0.5000 0.0000 0.5000  0.01
Sn 0.1250 0.7500 0.3750  0.12
Br 0.3196 0.0295 0.8872  0.00
Sn 0.6250 0.7500 0.8750  0.12
Br 0.2099 0.1423 0.5295  0.00
Li 0.1250 0.2500 0.8750  0.00
Br 0.8196 0.4324 0.7901  0.00
Br 0.1128 0.6423 0.9324  0.00
Br 0.4705 0.1128 0.1804  0.00
Br 0.6128 0.4324 0.1423  0.00
Br 0.6804 0.7099 0.0676  0.00
Br 0.1804 0.5676 0.2099  0.00
Br 0.4324 0.6128 0.6423  0.00

## Properties
The total energy is -3.106 eV per atom. For the density, the calculation gives 3.81 g/cm3. The value obtained for the formation energy (no corrections) is -0.81 eV per atom.

10.
A relaxed structure of LiSnBr3. Source: Alexandria via LeMat-Bulk, functional PBE.

Cell: 4.3701 6.8698 11.6050 Å, 90.00 100.85 90.00°
Element x y z (fractional)
Br 0.2912 0.2720 0.5824
Li 0.3941 0.4328 0.7882
Sn 0.8409 0.0103 0.6817
Li 0.6059 0.9328 0.2118
Sn 0.1591 0.5103 0.3183
Br 0.5963 0.3002 0.1926
Br 0.9325 0.2788 0.8650
Br 0.7088 0.7720 0.4176
Br 0.0675 0.7788 0.1350
Br 0.4037 0.8002 0.8074

## Properties
The total energy is -3.256 eV per atom. For the density, the calculation gives 3.55 g/cm3. The value obtained for the formation energy (no corrections) is -1.07 eV per atom.

11.
A relaxed structure of Li2SnBr6. Source: Alexandria via LeMat-Bulk, functional PBE.

Cell: 6.8117 6.5993 11.5993 Å, 90.00 89.93 90.00°
Element x y z (fractional)
Br 0.3175 0.7695 0.4994
Br 0.6825 0.2305 0.5006
Li 0.5004 0.0014 0.3334
Br 0.6723 0.2755 0.1622
Li 0.0004 0.4986 0.8334
Br 0.1825 0.2695 0.0006
Br 0.6725 0.2733 0.8388
Sn 0.0000 0.0000 0.5000
Br 0.1723 0.2245 0.6622
Br 0.8275 0.7733 0.6612
Br 0.8175 0.7305 0.9994
Sn 0.5000 0.5000 0.0000
Li 0.9996 0.5014 0.1666
Br 0.3277 0.7245 0.8378
Br 0.8277 0.7755 0.3378
Br 0.1725 0.2267 0.3388
Br 0.3275 0.7267 0.1612
Li 0.4996 0.9986 0.6666

## Properties
The total energy is -3.003 eV per atom. For the density, the calculation gives 3.90 g/cm3. The value obtained for the formation energy (no corrections) is -1.02 eV per atom. Its energy above the most stable polymorph in this dataset is 0 meV per atom.

12.
A relaxed structure of Li2SnBr4. Source: Alexandria via LeMat-Bulk, functional PBE.

Cell: 8.5548 8.5548 8.4026 Å, 101.74 101.74 126.88°
Element x y z (fractional)
Br 0.0498 0.3287 0.3628
Li 0.1577 0.7514 0.9504
Br 0.0251 0.3683 0.8710
Br 0.6183 0.7751 0.3710
Br 0.4040 0.2473 0.6290
Sn 0.7466 0.2466 0.5000
Br 0.9370 0.7159 0.1372
Br 0.4973 0.1540 0.1290
Li 0.8010 0.2073 0.0496
Sn 0.4966 0.4966 0.0000
Li 0.4573 0.5510 0.5496
Br 0.9659 0.6870 0.6372
Li 0.0014 0.9077 0.4504
Br 0.5787 0.7998 0.8628

## Properties
The total energy is -3.260 eV per atom. For the density, the calculation gives 3.43 g/cm3. The value obtained for the formation energy (no corrections) is -1.19 eV per atom. Its energy above the most stable polymorph in this dataset is 6 meV per atom.

13.
A relaxed structure of Li2Sn2Br7. Source: Alexandria via LeMat-Bulk, functional PBE.

Cell: 7.6287 7.8437 7.8437 Å, 70.36 115.60 115.60°
Element x y z (fractional)
Sn 0.0151 0.2297 0.2297
Br 0.0000 0.0000 0.0000
Li 0.5000 0.3136 0.6864
Li 0.5000 0.6864 0.3136
Br 0.7650 0.5132 0.5132
Sn 0.9849 0.7703 0.7703
Br 0.7225 0.0070 0.4199
Br 0.2775 0.9930 0.5801
Br 0.2350 0.4868 0.4868
Br 0.7225 0.4199 0.0070
Br 0.2775 0.5801 0.9930

## Properties
The total energy is -3.093 eV per atom. For the density, the calculation gives 3.59 g/cm3. The value obtained for the formation energy (no corrections) is -0.95 eV per atom.